No. 1
A plane-wave DFT calculation with GGA-PBE was carried out for an optimized crystal structure of Mn2CuHPt.

Unit cell a=3.9209 b=3.9209 c=3.7483 alpha=90.00 beta=90.00 gamma=90.00
Closest atoms and distances in Å follow each position.
Fractional positions:
H1 0.0000 0.0000 0.0000  2 Cu 1.87, 4 Mn 1.96
Mn1 0.0000 0.5000 0.0000  2 H 1.96
Mn2 0.5000 0.0000 0.0000  2 H 1.96
Cu1 0.0000 0.0000 0.5000  2 H 1.87
Pt1 0.5000 0.5000 0.5000  8 Mn 2.71, 4 Cu 2.77

Output
- Energy above the most stable polymorph in this dataset: 0 meV per atom
- M_tot: 1.505 μB per atom
- Crystal system: tetragonal

***

No. 2
A plane-wave DFT calculation with GGA-PBE was carried out for an optimized crystal structure of Tb2Ho8Mg.

Unit cell a=5.5230 b=6.4010 c=9.9930 alpha=85.76 beta=106.04 gamma=90.00
Closest atoms and distances in Å follow each position.
Fractional positions:
Tb1 0.7579 0.3345 0.5157  10 Ho 3.40-3.80, 2 Tb 3.48
Tb2 0.2421 0.6655 0.4843  10 Ho 3.40-3.80, 2 Tb 3.48
Ho1 0.4207 0.5954 0.8413  1 Mg 3.10, 3 Ho 3.20-3.35, 1 Tb 3.42
Ho2 0.6611 0.8755 0.3221  1 Mg 3.13, 2 Tb 3.40, 3 Ho 3.41-3.50
Ho3 0.8474 0.8107 0.6948  6 Ho 3.35-3.67, 4 Tb 3.59-3.65
Ho4 0.9546 0.2622 0.9092  2 Mg 3.31, 7 Ho 3.52-3.69
Ho5 0.1526 0.1893 0.3052  6 Ho 3.35-3.67, 4 Tb 3.59-3.65
Ho6 0.3389 0.1245 0.6779  1 Mg 3.13, 2 Tb 3.40, 3 Ho 3.41-3.50
Ho7 0.5793 0.4046 0.1587  1 Mg 3.10, 3 Ho 3.20-3.35, 1 Tb 3.42
Ho8 0.0454 0.7378 0.0908  2 Mg 3.31, 7 Ho 3.52-3.69
Mg1 0.5000 0.0000 0.0000  8 Ho 3.10-3.31

Output
- Energy above the most stable polymorph in this dataset: 0 meV per atom
- M_tot: 0.000 μB per atom
- Crystal system: monoclinic
- Formation energy: 0.37 eV per formula unit

***

No. 3
A plane-wave DFT calculation with GGA-PBE was carried out for an optimized crystal structure of NaMgGa2.

Unit cell a=3.2093 b=3.2093 c=9.7765 alpha=80.55 beta=80.55 gamma=60.00
Closest atoms and distances in Å follow each position.
Fractional positions:
Na1 0.5000 0.5000 0.5000  6 Ga 3.15, 6 Na 3.21
Mg1 0.0000 0.0000 0.0000  6 Ga 2.92, 6 Mg 3.21
Ga1 0.7450 0.7450 0.7651  3 Mg 2.92, 3 Na 3.15, 6 Ga 3.21
Ga2 0.2550 0.2550 0.2349  3 Mg 2.92, 3 Na 3.15, 6 Ga 3.21

Output
- M_tot: 0.000 μB per atom
- Crystal system: trigonal
- Formation energy: -0.12 eV per formula unit

***

No. 4
A plane-wave DFT calculation with GGA-PBE was carried out for an optimized crystal structure of MoWSe2.

Unit cell a=9.8524 b=9.8524 c=9.8524 alpha=18.15 beta=18.15 gamma=18.15
Closest atoms and distances in Å follow each position.
Fractional positions:
Mo1 0.7517 0.7517 0.7517  3 Se 2.51
Se1 0.0247 0.0247 0.0247  3 Mo 2.51
Se2 0.2256 0.2256 0.2256  3 W 2.52
W1 0.4980 0.4980 0.4980  3 Se 2.52

Output
- Energy above the most stable polymorph in this dataset: 15 meV per atom
- Formation energy (no corrections): -0.1401 eV/atom
- M_tot: 0.000 μB per atom
- Crystal system: trigonal

***

No. 5
A plane-wave DFT calculation with GGA-PBE was carried out for an optimized crystal structure of Ho3ErNi2.

Unit cell a=6.6352 b=6.8638 c=8.1462 alpha=114.92 beta=114.03 gamma=90.00
Closest atoms and distances in Å follow each position.
Fractional positions:
Ho1 0.5000 0.2500 0.0000  4 Ni 2.89
Ho2 0.5000 0.7500 0.0000  4 Ni 2.89
Ho3 0.7625 0.0125 0.5250  4 Ni 2.77-2.86
Ho4 0.2375 0.4875 0.4750  4 Ni 2.77-2.86
Ho5 0.2375 0.9875 0.4750  4 Ni 2.77-2.86
Ho6 0.7625 0.5125 0.5250  4 Ni 2.77-2.86
Er1 0.0000 0.5000 0.0000  2 Ni 2.63
Er2 0.0000 0.0000 0.0000  2 Ni 2.63
Ni1 0.5771 0.3613 0.7226  1 Er 2.63, 6 Ho 2.77-2.89
Ni2 0.8544 0.1387 0.2774  1 Er 2.63, 6 Ho 2.77-2.89
Ni3 0.1456 0.8613 0.7226  1 Er 2.63, 6 Ho 2.77-2.89
Ni4 0.4229 0.6387 0.2774  1 Er 2.63, 6 Ho 2.77-2.89

Output
- Energy above the most stable polymorph in this dataset: 98 meV per atom
- M_tot: 0.000 μB per atom
- Crystal system: orthorhombic
- Formation energy: -1.26 eV per formula unit

***

No. 6
A plane-wave DFT calculation with GGA-PBE was carried out for an optimized crystal structure of PmGe4Pd4.

Unit cell a=6.2557 b=6.2557 c=8.4019 alpha=90.00 beta=90.00 gamma=90.00
Closest atoms and distances in Å follow each position.
Fractional positions:
Pm1 0.0000 0.0000 0.0000  4 Ge 3.13
Pm2 0.5000 0.5000 0.5000  4 Ge 3.13
Ge1 0.5000 0.7815 0.8085  5 Pd 2.48-2.60, 1 Ge 2.73
Ge2 0.5000 0.2185 0.8085  5 Pd 2.48-2.60, 1 Ge 2.73
Ge3 0.7815 0.5000 0.1915  5 Pd 2.48-2.60, 1 Ge 2.73
Ge4 0.2185 0.5000 0.1915  5 Pd 2.48-2.60, 1 Ge 2.73
Ge5 0.2815 0.0000 0.3085  5 Pd 2.48-2.60, 1 Ge 2.73
Ge6 0.7185 0.0000 0.3085  5 Pd 2.48-2.60, 1 Ge 2.73
Ge7 0.0000 0.2815 0.6915  5 Pd 2.48-2.60, 1 Ge 2.73
Ge8 0.0000 0.7185 0.6915  5 Pd 2.48-2.60, 1 Ge 2.73
Pd1 0.2236 0.5000 0.8958  5 Ge 2.48-2.60
Pd2 0.7764 0.5000 0.8958  5 Ge 2.48-2.60
Pd3 0.5000 0.7764 0.1042  5 Ge 2.48-2.60
Pd4 0.5000 0.2236 0.1042  5 Ge 2.48-2.60
Pd5 0.0000 0.7236 0.3958  5 Ge 2.48-2.60
Pd6 0.0000 0.2764 0.3958  5 Ge 2.48-2.60
Pd7 0.2764 0.0000 0.6042  5 Ge 2.48-2.60
Pd8 0.7236 0.0000 0.6042  5 Ge 2.48-2.60

Output
- M_tot: 0.000 μB per atom
- Crystal system: tetragonal
- Formation energy: -4.90 eV per formula unit

***

No. 7
A plane-wave DFT calculation with GGA-PBE was carried out for an optimized crystal structure of Ho3SbC.

Unit cell a=4.1272 b=8.2331 c=8.2176 alpha=78.05 beta=90.00 gamma=104.52
Closest atoms and distances in Å follow each position.
Fractional positions:
Ho1 0.0455 0.0911 0.1564  2 C 2.34-2.40
Ho2 0.9545 0.9089 0.8436  2 C 2.34-2.40
Ho3 0.6761 0.3522 0.8699  2 C 2.41
Ho4 0.3239 0.6478 0.1301  2 C 2.41
Ho5 0.8398 0.6796 0.4424  1 C 2.47
Ho6 0.1602 0.3204 0.5576  1 C 2.47
Sb1 0.3331 0.6663 0.7300  8 Ho 3.11-3.36
Sb2 0.6669 0.3337 0.2700  8 Ho 3.11-3.36
C1 0.0993 0.1987 0.8601  5 Ho 2.34-2.47
C2 0.9007 0.8013 0.1399  5 Ho 2.34-2.47

Output
- Formation energy (no corrections): -0.4474 eV/atom
- M_tot: 0.055 μB per atom
- Crystal system: monoclinic

***

No. 8
A plane-wave DFT calculation with GGA-PBE was carried out for an optimized crystal structure of HoCdCuRu.

Unit cell a=4.6939 b=4.6939 c=4.6939 alpha=60.00 beta=60.00 gamma=60.00
Closest atoms and distances in Å follow each position.
Fractional positions:
Ru1 0.7500 0.7500 0.7500  4 Cd 2.87, 4 Ho 2.87
Ho1 0.0000 0.0000 0.0000  4 Ru 2.87, 4 Cu 2.87
Cu1 0.2500 0.2500 0.2500  4 Ho 2.87, 4 Cd 2.87
Cd1 0.5000 0.5000 0.5000  4 Cu 2.87, 4 Ru 2.87

Output
- M_tot: 0.000 μB per atom
- Crystal system: cubic
- Formation energy: -0.23 eV per formula unit